[1]
Below is a geometry-optimized CaTi2In2 structure, with properties calculated at the PBE level.

Results
Crystal system = tetragonal
Excess energy over the best structure of this formula in the dataset = 0 meV/atom
Formation energy = -9.38 kJ/mol of atoms
DOS at the Fermi energy = 6.62 states/eV per cell
Space-group type = No. 127

abc: 8.5326 8.5326 3.0868
angles: 90.00 90.00 90.00
Closest atoms and distances in Å follow each position.
Fractional positions:
Ti  0.8893  0.6107  0.0000  1 Ti 2.67, 2 In 2.94
Ti  0.3893  0.8893  0.0000  1 Ti 2.67, 2 In 2.94
Ti  0.1107  0.3893  0.0000  1 Ti 2.67, 2 In 2.94
Ti  0.6107  0.1107  0.0000  1 Ti 2.67, 2 In 2.94
In  0.6818  0.8182  0.5000  6 Ti 2.94-3.00, 2 In 3.09
In  0.1818  0.6818  0.5000  6 Ti 2.94-3.00, 2 In 3.09
In  0.8182  0.3182  0.5000  6 Ti 2.94-3.00, 2 In 3.09
In  0.3182  0.1818  0.5000  6 Ti 2.94-3.00, 2 In 3.09
Ca  0.0000  0.0000  0.0000  2 Ca 3.09, 4 Ti 3.45
Ca  0.5000  0.5000  0.0000  2 Ca 3.09, 4 Ti 3.45



[2]
Below is a geometry-optimized AgHg2Ru structure, with properties calculated at the PBE level.

Results
Crystal system = tetragonal
Excess energy over the best structure of this formula in the dataset = 112 meV/atom
Formation energy = 47.93 kJ/mol of atoms
DOS at the Fermi energy = 2.62 states/eV per cell
Space-group type = No. 119

abc: 5.2269 5.2269 5.2269
angles: 133.22 133.22 68.31
Closest atoms and distances in Å follow each position.
Fractional positions:
Ag  0.7500  0.2500  0.5000  8 Hg 2.93-3.00, 4 Ru 3.00
Ru  0.5000  0.5000  0.0000  8 Hg 2.93-3.00, 4 Ag 3.00
Hg  0.2500  0.7500  0.5000  4 Ag 2.93, 4 Ru 3.00, 4 Hg 3.00
Hg  0.0000  0.0000  0.0000  4 Ru 2.93, 4 Ag 3.00, 4 Hg 3.00



[3]
Below is a geometry-optimized Ba5PtAu2 structure, with properties calculated at the PBE level.

Results
Crystal system = orthorhombic
Formation energy = -53.72 kJ/mol of atoms
DOS at the Fermi energy = 15.17 states/eV per cell
Space-group type = No. 62

abc: 5.9262 10.9234 21.9209
angles: 90.00 90.00 90.00
Closest atoms and distances in Å follow each position.
Fractional positions:
Pt  0.7500  0.3932  0.0630  6 Ba 3.01-3.32
Pt  0.2500  0.1068  0.5630  6 Ba 3.01-3.32
Pt  0.2500  0.6068  0.9370  6 Ba 3.01-3.32
Pt  0.7500  0.8932  0.4370  6 Ba 3.01-3.32
Ba  0.2500  0.9396  0.4363  3 Pt 3.01-3.32
Ba  0.7500  0.6462  0.1404  1 Pt 3.24, 3 Au 3.34-3.40
Ba  0.2500  0.3538  0.8596  1 Pt 3.24, 3 Au 3.34-3.40
Ba  0.2500  0.8538  0.6404  1 Pt 3.24, 3 Au 3.34-3.40
Ba  0.7500  0.5638  0.6875  4 Au 3.16-3.51
Ba  0.2500  0.7769  0.8213  1 Pt 3.15, 1 Au 3.51
Ba  0.7500  0.7231  0.3213  1 Pt 3.15, 1 Au 3.51
Ba  0.7500  0.2231  0.1787  1 Pt 3.15, 1 Au 3.51
Ba  0.2500  0.3543  0.4906  1 Pt 3.13, 1 Au 3.29
Ba  0.2500  0.4362  0.3125  4 Au 3.16-3.51
Ba  0.2500  0.4396  0.0637  3 Pt 3.01-3.32
Ba  0.7500  0.6457  0.5094  1 Pt 3.13, 1 Au 3.29
Ba  0.7500  0.0638  0.8125  4 Au 3.16-3.51
Ba  0.2500  0.8543  0.0094  1 Pt 3.13, 1 Au 3.29
Ba  0.7500  0.1457  0.9906  1 Pt 3.13, 1 Au 3.29
Ba  0.7500  0.0604  0.5637  3 Pt 3.01-3.32
Ba  0.7500  0.1462  0.3596  1 Pt 3.24, 3 Au 3.34-3.40
Ba  0.2500  0.2769  0.6787  1 Pt 3.15, 1 Au 3.51
Ba  0.2500  0.9362  0.1875  4 Au 3.16-3.51
Ba  0.7500  0.5604  0.9363  3 Pt 3.01-3.32
Au  0.2500  0.1518  0.2838  4 Ba 3.16-3.40
Au  0.7500  0.8482  0.7162  4 Ba 3.16-3.40
Au  0.2500  0.0580  0.8986  5 Ba 3.29-3.51
Au  0.2500  0.5580  0.6014  5 Ba 3.29-3.51
Au  0.7500  0.9420  0.1014  5 Ba 3.29-3.51
Au  0.7500  0.4420  0.3986  5 Ba 3.29-3.51
Au  0.2500  0.6518  0.2162  4 Ba 3.16-3.40
Au  0.7500  0.3482  0.7838  4 Ba 3.16-3.40



[4]
Below is a geometry-optimized Hg2GeTe2 structure, with properties calculated at the PBE level.

Results
Crystal system = tetragonal
ΔE_f (raw) = 0.14 eV/atom
DOS at the Fermi energy = 5.47 states/eV per cell
Space-group type = No. 127

abc: 8.3740 8.3740 4.3509
angles: 90.00 90.00 90.00
Closest atoms and distances in Å follow each position.
Fractional positions:
Te  0.7790  0.7210  0.0000  2 Hg 2.90, 2 Ge 2.98
Te  0.2790  0.7790  0.0000  2 Hg 2.90, 2 Ge 2.98
Te  0.7210  0.2210  0.0000  2 Hg 2.90, 2 Ge 2.98
Te  0.2210  0.2790  0.0000  2 Hg 2.90, 2 Ge 2.98
Ge  0.5000  0.5000  0.0000  4 Te 2.98
Ge  0.0000  0.0000  0.0000  4 Te 2.98
Hg  0.1170  0.6170  0.5000  1 Hg 2.77, 2 Te 2.90
Hg  0.8830  0.3830  0.5000  1 Hg 2.77, 2 Te 2.90
Hg  0.6170  0.8830  0.5000  1 Hg 2.77, 2 Te 2.90
Hg  0.3830  0.1170  0.5000  1 Hg 2.77, 2 Te 2.90



[5]
Below is a geometry-optimized FeSiBP structure, with properties calculated at the PBE level.

Results
Crystal system = orthorhombic
ΔE_f (raw) = -0.06 eV/atom
Excess energy over the best structure of this formula in the dataset = 38 meV/atom
DOS at the Fermi energy = 2.90 states/eV per cell
Space-group type = No. 38

abc: 3.1171 2.6002 11.6657
angles: 90.00 90.00 90.00
Closest atoms and distances in Å follow each position.
Fractional positions:
P  0.0000  0.0000  0.4926  2 B 1.91
P  0.0000  0.5000  0.9926  2 B 1.91
Si  0.5000  0.5000  0.2504  2 B 2.16, 4 Fe 2.36
Si  0.5000  0.0000  0.7504  2 B 2.16, 4 Fe 2.36
Fe  0.0000  0.5000  0.6472  2 P 2.22, 4 Si 2.36
Fe  0.0000  0.0000  0.1472  2 P 2.22, 4 Si 2.36
B  0.5000  0.0000  0.3983  2 P 1.91
B  0.5000  0.5000  0.8983  2 P 1.91



[6]
Below is a geometry-optimized HgPt2I structure, with properties calculated at the PBE level.

Results
Crystal system = tetragonal
ΔE_f (raw) = 0.46 eV/atom
Excess energy over the best structure of this formula in the dataset = 0 meV/atom
DOS at the Fermi energy = 3.85 states/eV per cell
Space-group type = No. 122

abc: 4.5392 4.5392 9.4105
angles: 76.04 76.04 90.00
Closest atoms and distances in Å follow each position.
Fractional positions:
Hg  0.7500  0.2500  0.5000  4 Pt 2.78
Hg  0.0000  0.0000  0.0000  4 Pt 2.78
Pt  0.8750  0.8502  0.7500  2 I 2.69, 2 Hg 2.78
Pt  0.6002  0.1250  0.2500  2 I 2.69, 2 Hg 2.78
Pt  0.3750  0.3998  0.7500  2 I 2.69, 2 Hg 2.78
Pt  0.1498  0.6250  0.2500  2 I 2.69, 2 Hg 2.78
I  0.2500  0.7500  0.5000  4 Pt 2.69
I  0.5000  0.5000  0.0000  4 Pt 2.69



[7]
Below is a geometry-optimized CuH2Pd2 structure, with properties calculated at the PBE level.

Results
Crystal system = monoclinic
Excess energy over the best structure of this formula in the dataset = 37 meV/atom
DOS at the Fermi energy = 3.04 states/eV per cell
Space-group type = No. 15

abc: 4.4731 5.3952 5.3555
angles: 109.74 102.56 113.41
Closest atoms and distances in Å follow each position.
Fractional positions:
Pd  0.9862  0.5907  0.7709  4 H 1.82-2.04
Pd  0.7154  0.8198  0.2291  4 H 1.82-2.04
Pd  0.0138  0.4093  0.2291  4 H 1.82-2.04
Pd  0.2846  0.1802  0.7709  4 H 1.82-2.04
H  0.9863  0.2363  0.4725  4 Pd 1.84-2.04
H  0.0137  0.7637  0.5275  4 Pd 1.84-2.04
H  0.7449  0.4949  0.9899  4 Pd 1.82-1.86
H  0.2551  0.5051  0.0101  4 Pd 1.82-1.86
Cu  0.6158  0.8658  0.7316  2 H 2.43, 6 Pd 2.65-2.72
Cu  0.3842  0.1342  0.2684  2 H 2.43, 6 Pd 2.65-2.72



[8]
Below is a geometry-optimized FeTc2HgOs structure, with properties calculated at the PBE level.

Results
Crystal system = tetragonal
Formation energy = 166.28 kJ/mol of atoms
DOS at the Fermi energy = 6.40 states/eV per cell
Space-group type = No. 123

abc: 4.3266 4.7152 4.3266
angles: 90.00 90.00 90.00
Closest atoms and distances in Å follow each position.
Fractional positions:
Tc  0.5000  0.0000  0.0000  2 Fe 2.16
Tc  0.0000  0.0000  0.5000  2 Fe 2.16
Os  0.5000  0.5000  0.5000  4 Hg 3.06, 8 Tc 3.20
Hg  0.0000  0.5000  0.0000  2 Fe 2.36
Fe  0.0000  0.0000  0.0000  4 Tc 2.16, 2 Hg 2.36



[9]
Below is a geometry-optimized PaBi2Te structure, with properties calculated at the PBE level.

Results
Crystal system = tetragonal
ΔE_f (raw) = -0.20 eV/atom
Excess energy over the best structure of this formula in the dataset = 100 meV/atom
DOS at the Fermi energy = 4.91 states/eV per cell
Space-group type = No. 123

abc: 4.4185 4.4185 6.1556
angles: 90.00 90.00 90.00
Closest atoms and distances in Å follow each position.
Fractional positions:
Pa  0.5000  0.5000  0.5000  2 Te 3.08
Bi  0.0000  0.0000  0.7410  2 Bi 2.97-3.19
Bi  0.0000  0.0000  0.2590  2 Bi 2.97-3.19
Te  0.5000  0.5000  0.0000  2 Pa 3.08



[10]
Below is a geometry-optimized BaTaTe3 structure, with properties calculated at the PBE level.

Results
Crystal system = cubic
ΔE_f (raw) = -0.62 eV/atom
Excess energy over the best structure of this formula in the dataset = 0 meV/atom
DOS at the Fermi energy = 1.97 states/eV per cell
Space-group type = No. 221

abc: 5.5273 5.5273 5.5273
angles: 90.00 90.00 90.00
Closest atoms and distances in Å follow each position.
Fractional positions:
Ta  0.0000  0.0000  0.0000  6 Te 2.76
Te  0.5000  0.0000  0.0000  2 Ta 2.76
Te  0.0000  0.5000  0.0000  2 Ta 2.76
Te  0.0000  0.0000  0.5000  2 Ta 2.76
Ba  0.5000  0.5000  0.5000  12 Te 3.91



[11]
Below is a geometry-optimized Lu3Al structure, with properties calculated at the PBE level.

Results
Crystal system = orthorhombic
Formation energy = 9.42 kJ/mol of atoms
DOS at the Fermi energy = 5.38 states/eV per cell
Space-group type = No. 25

abc: 3.3002 3.3035 10.0882
angles: 90.00 90.00 90.00
Closest atoms and distances in Å follow each position.
Fractional positions:
Lu  0.5000  0.5000  0.1691  4 Al 3.06, 4 Lu 3.30
Lu  0.0000  0.5000  0.4714  10 Lu 3.30-3.47
Lu  0.5000  0.0000  0.7199  2 Al 3.04, 4 Lu 3.30
Al  0.0000  0.0000  0.9729  6 Lu 3.04-3.06, 4 Al 3.30



[12]
Below is a geometry-optimized Cs3In6Sn5 structure, with properties calculated at the PBE level.

Results
Crystal system = orthorhombic
Formation energy = -12.54 kJ/mol of atoms
DOS at the Fermi energy = 9.23 states/eV per cell
Space-group type = No. 59

abc: 5.0165 13.0118 15.2410
angles: 90.00 90.00 90.00
Closest atoms and distances in Å follow each position.
Fractional positions:
Sn  0.5000  0.4983  0.3566  5 In 3.05-3.33
Sn  0.0000  0.5017  0.1434  5 In 3.05-3.33
Sn  0.0000  0.8911  0.0000  4 In 3.00-3.03
Sn  0.0000  0.5017  0.8566  5 In 3.05-3.33
Sn  0.5000  0.4983  0.6434  5 In 3.05-3.33
Sn  0.5000  0.1411  0.1762  5 In 3.03-3.10
Sn  0.5000  0.1411  0.8238  5 In 3.03-3.10
Sn  0.0000  0.8589  0.3238  5 In 3.03-3.10
Sn  0.0000  0.8589  0.6762  5 In 3.03-3.10
Sn  0.5000  0.1089  0.5000  4 In 3.00-3.03
In  0.5000  0.0222  0.0000  4 Sn 3.03-3.10
In  0.0000  0.0110  0.1683  4 Sn 3.00-3.09
In  0.5000  0.3759  0.1861  4 Sn 3.05-3.06, 1 In 3.31
In  0.5000  0.5077  0.0000  2 In 3.31, 4 Sn 3.33
In  0.5000  0.3759  0.8139  4 Sn 3.05-3.06, 1 In 3.31
In  0.5000  0.9890  0.3317  4 Sn 3.00-3.09
In  0.0000  0.0110  0.8317  4 Sn 3.00-3.09
In  0.0000  0.6241  0.6861  4 Sn 3.05-3.06, 1 In 3.31
In  0.0000  0.4923  0.5000  2 In 3.31, 4 Sn 3.33
In  0.0000  0.6241  0.3139  4 Sn 3.05-3.06, 1 In 3.31
In  0.5000  0.9890  0.6683  4 Sn 3.00-3.09
In  0.0000  0.9778  0.5000  4 Sn 3.03-3.10
Cs  0.0000  0.2473  0.6485  6 Sn 3.83-4.12, 7 In 3.91-4.20
Cs  0.5000  0.7518  0.5000  10 In 3.86-4.21, 6 Sn 3.93-3.96
Cs  0.5000  0.7527  0.8515  6 Sn 3.83-4.12, 7 In 3.91-4.20
Cs  0.0000  0.2482  0.0000  10 In 3.86-4.21, 6 Sn 3.93-3.96
Cs  0.0000  0.2473  0.3515  6 Sn 3.83-4.12, 7 In 3.91-4.20
Cs  0.5000  0.7527  0.1485  6 Sn 3.83-4.12, 7 In 3.91-4.20